Material: Pr5Pa3As8
Method: DFT, PBE
State: relaxed

Calculated values
Size of the total moment: 0.0 μB/cell
Energy of formation from the pure elements: -1.335 eV per atom

Structure (CIF):
```
data_Pr5Pa3As8
_cell_length_a 8.430
_cell_length_b 8.430
_cell_length_c 8.442
_cell_angle_alpha 60.05
_cell_angle_beta 60.05
_cell_angle_gamma 60.00
_space_group_name_H-M_alt 'P 1'
_space_group_IT_number 1
loop_
_space_group_symop_operation_xyz
'x,y,z'
loop_
_atom_site_label
_atom_site_type_symbol
_atom_site_fract_x
_atom_site_fract_y
_atom_site_fract_z
_atom_site_occupancy
Pr1 Pr 0.500 0.000 0.000 1
Pr2 Pr 0.500 0.500 0.000 1
Pr3 Pr 0.000 0.000 0.000 1
Pr4 Pr 0.000 0.500 0.000 1
Pr5 Pr 0.500 0.500 0.500 1
Pa1 Pa 0.500 0.000 0.500 1
Pa2 Pa 0.000 0.000 0.500 1
Pa3 Pa 0.000 0.500 0.500 1
As1 As 0.250 0.250 0.736 1
As2 As 0.250 0.764 0.736 1
As3 As 0.764 0.250 0.736 1
As4 As 0.756 0.756 0.733 1
As5 As 0.750 0.750 0.264 1
As6 As 0.750 0.236 0.264 1
As7 As 0.236 0.750 0.264 1
As8 As 0.244 0.244 0.267 1
```


Material: CaPa2GaN5
Method: DFT, PBE
State: relaxed

Calculated values
Size of the total moment: 0.0 μB/cell
E_form (uncorrected): -1.18 eV/atom

Structure (CIF):
```
data_CaPa2GaN5
_cell_length_a 3.482
_cell_length_b 7.119
_cell_length_c 11.131
_cell_angle_alpha 90.00
_cell_angle_beta 90.00
_cell_angle_gamma 104.16
_space_group_name_H-M_alt 'P 1'
_space_group_IT_number 1
loop_
_space_group_symop_operation_xyz
'x,y,z'
loop_
_atom_site_label
_atom_site_type_symbol
_atom_site_fract_x
_atom_site_fract_y
_atom_site_fract_z
_atom_site_occupancy
Ca1 Ca 0.795 0.590 0.479 1
Ca2 Ca 0.205 0.410 0.979 1
Pa1 Pa 0.879 0.758 0.744 1
Pa2 Pa 0.147 0.295 0.694 1
Pa3 Pa 0.121 0.242 0.244 1
Pa4 Pa 0.853 0.705 0.194 1
Ga1 Ga 0.488 0.976 0.995 1
Ga2 Ga 0.512 0.024 0.495 1
N1 N 0.359 0.717 0.071 1
N2 N 0.709 0.417 0.812 1
N3 N 0.465 0.930 0.818 1
N4 N 0.304 0.609 0.650 1
N5 N 0.963 0.926 0.562 1
N6 N 0.641 0.283 0.571 1
N7 N 0.291 0.583 0.312 1
N8 N 0.535 0.070 0.318 1
N9 N 0.696 0.391 0.150 1
N10 N 0.037 0.074 0.062 1
```


Material: TlOsRh4
Method: DFT, PBE
State: relaxed

Calculated values
Size of the total moment: 3.0 μB/cell
Energy of formation from the pure elements: 0.616 eV per atom

Structure (CIF):
```
data_TlOsRh4
_cell_length_a 5.159
_cell_length_b 5.159
_cell_length_c 5.159
_cell_angle_alpha 60.00
_cell_angle_beta 60.00
_cell_angle_gamma 60.00
_space_group_name_H-M_alt 'P 1'
_space_group_IT_number 1
loop_
_space_group_symop_operation_xyz
'x,y,z'
loop_
_atom_site_label
_atom_site_type_symbol
_atom_site_fract_x
_atom_site_fract_y
_atom_site_fract_z
_atom_site_occupancy
Tl1 Tl 0.750 0.750 0.750 1
Os1 Os 0.000 0.000 0.000 1
Rh1 Rh 0.375 0.876 0.375 1
Rh2 Rh 0.876 0.375 0.375 1
Rh3 Rh 0.375 0.375 0.876 1
Rh4 Rh 0.375 0.375 0.375 1
```


Material: Ca4ZnAu
Method: DFT, PBE
State: relaxed

Calculated values
Size of the total moment: 0.0 μB/cell
Energy of formation from the pure elements: -0.371 eV per atom
Polymorph energy (0 for the lowest one): 0 meV per atom

Structure (CIF):
```
data_Ca4ZnAu
_cell_length_a 3.718
_cell_length_b 3.718
_cell_length_c 12.969
_cell_angle_alpha 90.00
_cell_angle_beta 90.00
_cell_angle_gamma 90.00
_space_group_name_H-M_alt 'P 1'
_space_group_IT_number 1
loop_
_space_group_symop_operation_xyz
'x,y,z'
loop_
_atom_site_label
_atom_site_type_symbol
_atom_site_fract_x
_atom_site_fract_y
_atom_site_fract_z
_atom_site_occupancy
Ca1 Ca 0.500 0.500 0.862 1
Ca2 Ca 0.500 0.500 0.138 1
Ca3 Ca 0.000 0.000 0.633 1
Ca4 Ca 0.000 0.000 0.367 1
Zn1 Zn 0.000 0.000 0.000 1
Au1 Au 0.500 0.500 0.500 1
```


Material: ZnCuAu4
Method: DFT, PBE
State: relaxed

Calculated values
Size of the total moment: 0.0 μB/cell
Energy of formation from the pure elements: 0.024 eV per atom
Polymorph energy (0 for the lowest one): 0 meV per atom

Structure (CIF):
```
data_ZnCuAu4
_cell_length_a 5.144
_cell_length_b 5.592
_cell_length_c 8.201
_cell_angle_alpha 90.00
_cell_angle_beta 90.00
_cell_angle_gamma 104.94
_space_group_name_H-M_alt 'P 1'
_space_group_IT_number 1
loop_
_space_group_symop_operation_xyz
'x,y,z'
loop_
_atom_site_label
_atom_site_type_symbol
_atom_site_fract_x
_atom_site_fract_y
_atom_site_fract_z
_atom_site_occupancy
Zn1 Zn 0.773 0.442 0.750 1
Zn2 Zn 0.227 0.558 0.250 1
Cu1 Cu 0.780 0.948 0.750 1
Cu2 Cu 0.220 0.052 0.250 1
Au1 Au 0.334 0.590 0.750 1
Au2 Au 0.666 0.410 0.250 1
Au3 Au 0.330 0.086 0.750 1
Au4 Au 0.670 0.914 0.250 1
Au5 Au 0.000 0.751 0.999 1
Au6 Au 0.000 0.249 0.499 1
Au7 Au 0.000 0.751 0.501 1
Au8 Au 0.000 0.249 0.001 1
```


Material: Ti8Bi2Mo
Method: DFT, PBE
State: relaxed

Calculated values
Size of the total moment: 0.0 μB/cell
Energy of formation from the pure elements: -0.044 eV per atom

Structure (CIF):
```
data_Ti8Bi2Mo
_cell_length_a 4.772
_cell_length_b 6.355
_cell_length_c 7.634
_cell_angle_alpha 110.18
_cell_angle_beta 108.21
_cell_angle_gamma 90.00
_space_group_name_H-M_alt 'P 1'
_space_group_IT_number 1
loop_
_space_group_symop_operation_xyz
'x,y,z'
loop_
_atom_site_label
_atom_site_type_symbol
_atom_site_fract_x
_atom_site_fract_y
_atom_site_fract_z
_atom_site_occupancy
Ti1 Ti 0.396 0.592 0.793 1
Ti2 Ti 0.643 0.882 0.287 1
Ti3 Ti 0.838 0.837 0.675 1
Ti4 Ti 0.995 0.253 0.989 1
Ti5 Ti 0.162 0.163 0.325 1
Ti6 Ti 0.357 0.118 0.713 1
Ti7 Ti 0.604 0.408 0.207 1
Ti8 Ti 0.005 0.747 0.011 1
Bi1 Bi 0.807 0.328 0.613 1
Bi2 Bi 0.193 0.672 0.387 1
Mo1 Mo 0.500 0.000 0.000 1
```


Material: Pm4Al2Hg
Method: DFT, PBE
State: relaxed

Calculated values
Size of the total moment: 0.0 μB/cell
Energy of formation from the pure elements: -0.253 eV per atom

Structure (CIF):
```
data_Pm4Al2Hg
_cell_length_a 5.265
_cell_length_b 5.265
_cell_length_c 8.968
_cell_angle_alpha 72.93
_cell_angle_beta 72.93
_cell_angle_gamma 60.00
_space_group_name_H-M_alt 'P 1'
_space_group_IT_number 1
loop_
_space_group_symop_operation_xyz
'x,y,z'
loop_
_atom_site_label
_atom_site_type_symbol
_atom_site_fract_x
_atom_site_fract_y
_atom_site_fract_z
_atom_site_occupancy
Hg1 Hg 0.000 0.000 0.000 1
Al1 Al 0.748 0.748 0.757 1
Al2 Al 0.252 0.252 0.243 1
Pm1 Pm 0.870 0.870 0.389 1
Pm2 Pm 0.130 0.130 0.611 1
Pm3 Pm 0.618 0.618 0.146 1
Pm4 Pm 0.382 0.382 0.854 1
```


Material: LiAlRe2
Method: DFT, PBE
State: relaxed

Calculated values
Size of the total moment: 0.0 μB/cell
Energy of formation from the pure elements: 0.122 eV per atom

Structure (CIF):
```
data_LiAlRe2
_cell_length_a 9.182
_cell_length_b 9.182
_cell_length_c 9.182
_cell_angle_alpha 17.21
_cell_angle_beta 17.21
_cell_angle_gamma 17.21
_space_group_name_H-M_alt 'P 1'
_space_group_IT_number 1
loop_
_space_group_symop_operation_xyz
'x,y,z'
loop_
_atom_site_label
_atom_site_type_symbol
_atom_site_fract_x
_atom_site_fract_y
_atom_site_fract_z
_atom_site_occupancy
Al1 Al 0.250 0.250 0.250 1
Li1 Li 0.750 0.750 0.750 1
Re1 Re 0.997 0.997 0.997 1
Re2 Re 0.503 0.503 0.503 1
```